YMo2Se: relaxed, PBE.

Summary:
The value obtained for the raw formation energy is 0.064 eV/atom.

a b c (Å): 3.443 4.985 4.568
angles (deg): 90.00 93.43 90.00
Space group P2/m (No. 10)
Asymmetric unit:
Y: 0.000 0.000 0.000 [1 per cell]
Mo: 0.337 0.500 0.738 [2 per cell]
Se: 0.500 0.000 0.500 [1 per cell]

Sm6IrRh5: relaxed, PBE.

Summary:
The value obtained for the formation energy is -826 kJ/mol of formula units.

a b c (Å): 4.953 14.857 6.997
angles (deg): 90.00 90.00 90.00
Space group Cmmm (No. 65)
Asymmetric unit:
Sm: 0.000 0.000 0.248 [4 per cell]
Sm: 0.000 0.334 0.250 [8 per cell]
Ir: 0.000 0.500 0.000 [2 per cell]
Rh: 0.000 0.166 0.500 [4 per cell]
Rh: 0.000 0.169 0.000 [4 per cell]
Rh: 0.000 0.500 0.500 [2 per cell]

Nd2Te3H: relaxed, PBE.

Summary:
As for the calculated total energy: -116.07 eV/cell.

a b c (Å): 11.943 4.198 12.965
angles (deg): 90.00 90.00 90.00
Space group Pnma (No. 62)
Asymmetric unit:
Nd: 0.056 0.250 0.173 [4 per cell]
Nd: 0.200 0.250 0.516 [4 per cell]
Te: 0.062 0.750 0.373 [4 per cell]
Te: 0.117 0.250 0.933 [4 per cell]
Te: 0.179 0.750 0.698 [4 per cell]
H: 0.138 0.750 0.121 [4 per cell]

PaTiVRe: relaxed, PBE.

Summary:
The value obtained for the formation energy is -33 kJ/mol of formula units.

a b c (Å): 6.519 6.519 6.519
angles (deg): 90.00 90.00 90.00
Space group F-43m (No. 216)
Asymmetric unit:
Pa: 0.000 0.000 0.000 [4 per cell]
Ti: 0.000 0.000 0.500 [4 per cell]
V: 0.250 0.250 0.750 [4 per cell]
Re: 0.250 0.250 0.250 [4 per cell]